1.
Pr2NdMg3AgHg2 | PBE | relaxed

Unit cell a=4.2911 b=7.9890 c=7.9890 alpha=120.02 beta=90.00 gamma=90.00
With the nearest neighbours (Å) after each atom.
Positions (direct):
Pr (0.0000, 0.2049, 0.7951)  4 Hg 3.24, 1 Ag 3.28, 6 Mg 3.52-3.57
Pr (0.0000, 0.7951, 0.2049)  4 Hg 3.24, 1 Ag 3.28, 6 Mg 3.52-3.57
Nd (0.0000, 0.3855, 0.3855)  4 Hg 3.22, 1 Ag 3.26, 6 Mg 3.52-3.56
Mg (0.5000, 0.0359, 0.0359)  2 Ag 2.89, 2 Hg 3.09
Mg (0.5000, 0.5545, 0.7945)  2 Ag 2.88, 2 Hg 3.09-3.12
Mg (0.5000, 0.7945, 0.5545)  2 Ag 2.88, 2 Hg 3.09-3.12
Ag (0.0000, 0.7942, 0.7942)  6 Mg 2.88-2.89
Hg (0.5000, 0.1301, 0.4614)  3 Mg 3.09-3.12, 2 Nd 3.22, 4 Pr 3.24
Hg (0.5000, 0.4614, 0.1301)  3 Mg 3.09-3.12, 2 Nd 3.22, 4 Pr 3.24

Calculated values
For the electronic total energy, the calculation gives -2.844 eV per atom.

=====

2.
ErScAu6 | PBE | relaxed

Unit cell a=4.9368 b=6.0359 c=5.0700 alpha=90.00 beta=90.00 gamma=90.00
With the nearest neighbours (Å) after each atom.
Positions (direct):
Er (0.0000, 0.0000, 0.0000)  12 Au 2.96-3.04
Sc (0.5000, 0.5000, 0.3128)  12 Au 2.90-3.02
Au (0.0000, 0.2597, 0.4952)  8 Au 2.89-3.14, 2 Er 2.96-3.00, 2 Sc 3.01
Au (0.0000, 0.5000, 0.0028)  8 Au 2.89-3.02, 2 Sc 2.93, 2 Er 3.02
Au (0.0000, 0.7403, 0.4952)  8 Au 2.89-3.14, 2 Er 2.96-3.00, 2 Sc 3.01
Au (0.5000, 0.0000, 0.3268)  8 Au 2.94-3.05, 2 Er 2.97, 2 Sc 3.02
Au (0.5000, 0.2538, 0.8222)  2 Sc 2.90-2.98, 8 Au 2.94-3.06, 2 Er 3.04
Au (0.5000, 0.7462, 0.8222)  2 Sc 2.90-2.98, 8 Au 2.94-3.06, 2 Er 3.04

Calculated values
For the formation energy from the elements, the calculation gives -0.68 eV/atom.

=====

3.
PaMoOs | PBE | relaxed

Unit cell a=4.4434 b=4.4434 c=4.4434 alpha=60.00 beta=60.00 gamma=60.00
With the nearest neighbours (Å) after each atom.
Positions (direct):
Pa (0.0000, 0.0000, 0.0000)  4 Mo 2.72, 4 Os 2.72
Mo (0.7500, 0.7500, 0.7500)  4 Pa 2.72
Os (0.2500, 0.2500, 0.2500)  4 Pa 2.72

Calculated values
The value obtained for the excess energy over the best structure of this formula in the dataset is 0.3099 eV per atom. For the formation energy from the elements, the calculation gives 0.72 eV/atom.